! BaNi2Sb | the Alexandria database | PBE | optimized geometry; values from VASP
&SYSTEM
  ibrav = 0, nat = 4, ntyp = 3
/
ATOMIC_SPECIES
Ba 137.33 Ba.upf
Ni 58.69 Ni.upf
Sb 121.76 Sb.upf
CELL_PARAMETERS angstrom
-2.077 2.077 5.176
2.077 -2.077 5.176
2.077 2.077 -5.176
ATOMIC_POSITIONS crystal
Ba 0.000 0.000 0.000
Ni 0.250 0.750 0.500
Ni 0.500 0.500 0.000
Sb 0.750 0.250 0.500
! Energy (eV/atom): -4.040